[1]
VASP calculation (PBE) on a relaxed TaTi3Al crystal.

Its polymorph energy (0 for the lowest one) is 0.193 eV per atom. As for the crystal system: orthorhombic. The formation energy comes out at 0.105 eV per atom. Its density of states at the Fermi level is 0.411 states/eV/atom.

abc: 4.5642 5.7684 6.6282
angles: 90.00 90.00 90.00
Sites, in units of the cell vectors:
1 Ta 0.2500 0.2500 0.0601
2 Ta 0.7500 0.7500 0.9399
3 Ti 0.2500 0.2500 0.4381
4 Ti 0.2500 0.5376 0.7448
5 Ti 0.2500 0.9624 0.7448
6 Ti 0.7500 0.0376 0.2552
7 Ti 0.7500 0.4624 0.2552
8 Ti 0.7500 0.7500 0.5619
9 Al 0.2500 0.7500 0.2652
10 Al 0.7500 0.2500 0.7348

=====

[2]
VASP calculation (PBE) on a relaxed OsRu crystal.

As for the crystal system: hexagonal. The formation energy comes out at -0.009 eV per atom. Its density of states at the Fermi level is 0.697 states/eV/atom.

abc: 2.7463 2.7463 4.3125
angles: 90.00 90.00 120.00
Sites, in units of the cell vectors:
1 Os 0.0000 0.0000 0.0000
2 Ru 0.3333 0.6667 0.5000

=====

[3]
VASP calculation (PBE) on a relaxed SmZrSc3 crystal.

Its polymorph energy (0 for the lowest one) is 0.154 eV per atom. As for the crystal system: orthorhombic. The formation energy comes out at 0.250 eV per atom. Its density of states at the Fermi level is 1.660 states/eV/atom.

abc: 3.4442 9.8563 8.3086
angles: 90.00 90.00 90.00
Sites, in units of the cell vectors:
1 Sm 0.2500 0.2500 0.0806
2 Sm 0.7500 0.7500 0.9194
3 Zr 0.2500 0.2500 0.4600
4 Zr 0.7500 0.7500 0.5400
5 Sc 0.2500 0.5141 0.6728
6 Sc 0.2500 0.7500 0.2445
7 Sc 0.2500 0.9859 0.6728
8 Sc 0.7500 0.0141 0.3272
9 Sc 0.7500 0.2500 0.7555
10 Sc 0.7500 0.4859 0.3272

=====

[4]
VASP calculation (PBE) on a relaxed CaCeSm2 crystal.

Its polymorph energy (0 for the lowest one) is 0.158 eV per atom. As for the crystal system: cubic. The formation energy comes out at 0.239 eV per atom. Its density of states at the Fermi level is 2.861 states/eV/atom.

abc: 8.2372 8.2372 8.2372
angles: 90.00 90.00 90.00
Sites, in units of the cell vectors:
1 Ca 0.0000 0.0000 0.0000
2 Ca 0.0000 0.5000 0.5000
3 Ca 0.5000 0.0000 0.5000
4 Ca 0.5000 0.5000 0.0000
5 Ce 0.0000 0.0000 0.5000
6 Ce 0.0000 0.5000 0.0000
7 Ce 0.5000 0.0000 0.0000
8 Ce 0.5000 0.5000 0.5000
9 Sm 0.2500 0.2500 0.2500
10 Sm 0.2500 0.2500 0.7500
11 Sm 0.2500 0.7500 0.2500
12 Sm 0.2500 0.7500 0.7500
13 Sm 0.7500 0.2500 0.2500
14 Sm 0.7500 0.2500 0.7500
15 Sm 0.7500 0.7500 0.2500
16 Sm 0.7500 0.7500 0.7500

=====

[5]
VASP calculation (PBE) on a relaxed KRhCl2 crystal.

Its polymorph energy (0 for the lowest one) is 0.235 eV per atom. As for the crystal system: orthorhombic. Its density of states at the Fermi level is 0.526 states/eV/atom. The value obtained for the formation energy from raw total energies is -12.59 kcal/mol of atoms.

abc: 3.9689 7.0812 7.4571
angles: 90.00 90.00 90.00
Sites, in units of the cell vectors:
1 K 0.0000 0.0000 0.0000
2 K 0.5000 0.5000 0.0000
3 Rh 0.0000 0.0000 0.5000
4 Rh 0.5000 0.5000 0.5000
5 Cl 0.0000 0.5000 0.2937
6 Cl 0.0000 0.5000 0.7063
7 Cl 0.5000 0.0000 0.2937
8 Cl 0.5000 0.0000 0.7063

=====

[6]
VASP calculation (PBE) on a relaxed AcTm5Hg4 crystal.

As for the crystal system: tetragonal. The formation energy comes out at -0.366 eV per atom. Its density of states at the Fermi level is 0.946 states/eV/atom.

abc: 3.6920 3.6920 19.9515
angles: 90.00 90.00 90.00
Sites, in units of the cell vectors:
1 Ac 0.0000 0.0000 0.0000
2 Tm 0.5000 0.5000 0.1344
3 Tm 0.5000 0.5000 0.3173
4 Tm 0.5000 0.5000 0.5000
5 Tm 0.5000 0.5000 0.6827
6 Tm 0.5000 0.5000 0.8656
7 Hg 0.0000 0.0000 0.2232
8 Hg 0.0000 0.0000 0.4071
9 Hg 0.0000 0.0000 0.5929
10 Hg 0.0000 0.0000 0.7768

=====

- What is the formula in the sixth record?
  AcTm5Hg4